Record 1
Density functional theory data (PBE) for a relaxed structure of Ti3HgN.

crystal system	monoclinic
formation energy (no corrections)	-0.572	eV per atom
magnetization	0.000	μB per cell

extended XYZ file:
```
10
Lattice="9.5104 -1.5649 0.0000 9.5104 1.5649 0.0000 -1.6046 0.0000 5.4110" Properties=species:S:1:pos:R:3 pbc="T T T"
Ti 0.8391 0.0000 2.0130
Ti 2.1467 0.0000 4.7493
Ti 4.6335 0.0000 3.6666
Ti 12.7827 0.0000 1.7444
Ti 15.2695 0.0000 0.6617
Ti 16.5770 0.0000 3.3980
Hg 8.1663 0.0000 0.6419
Hg 9.2498 0.0000 4.7692
N 2.6833 0.0000 2.8560
N 14.7329 0.0000 2.5551
```

---

Record 2
Density functional theory data (PBE) for a relaxed structure of Ti3HgN.

crystal system	hexagonal
formation energy (no corrections)	-0.452	eV per atom
magnetization	5.307	μB per cell

extended XYZ file:
```
10
Lattice="3.4100 0.0000 0.0000 -1.7050 2.9531 0.0000 0.0000 0.0000 17.0376" Properties=species:S:1:pos:R:3 pbc="T T T"
Ti 0.0000 0.0000 4.2594
Ti 0.0000 0.0000 12.7782
Ti 0.0000 1.9688 2.1888
Ti 0.0000 1.9688 6.3301
Ti 1.7050 0.9844 10.7076
Ti 1.7050 0.9844 14.8489
Hg 0.0000 0.0000 0.0000
Hg 0.0000 0.0000 8.5188
N 0.0000 1.9688 4.2594
N 1.7050 0.9844 12.7782
```

---

Record 3
Density functional theory data (PBE) for a relaxed structure of TiHgN3.

crystal system	cubic
formation energy (no corrections)	2.155	eV per atom
magnetization	0.003	μB per cell

extended XYZ file:
```
5
Lattice="4.0455 0.0000 0.0000 0.0000 4.0455 0.0000 0.0000 0.0000 4.0455" Properties=species:S:1:pos:R:3 pbc="T T T"
Ti 0.0000 0.0000 0.0000
Hg 2.0228 2.0228 2.0228
N 0.0000 2.0228 2.0228
N 2.0228 0.0000 2.0228
N 2.0228 2.0228 0.0000
```

---

Record 4
Density functional theory data (PBE) for a relaxed structure of Ti3HgN.

crystal system	orthorhombic
formation energy (no corrections)	-0.091	eV per atom
magnetization	0.009	μB per cell

extended XYZ file:
```
5
Lattice="2.9067 0.0000 0.0000 0.0000 2.8250 7.0232 0.0000 -2.8250 7.0232" Properties=species:S:1:pos:R:3 pbc="T T T"
Ti 0.0000 0.0000 0.0000
Ti 1.4533 -1.4721 5.0383
Ti 1.4533 1.4721 5.0383
Hg 1.4533 0.0000 2.5107
N 0.0000 0.0000 11.8759
```

---

Record 5
Density functional theory data (PBE) for a relaxed structure of TiHg3N.

crystal system	cubic
formation energy (no corrections)	1.719	eV per atom
energy above the lowest structure with this stoichiometry	3.189	eV/f.u.
magnetization	1.890	μB per cell

extended XYZ file:
```
5
Lattice="5.3736 0.0000 0.0000 0.0000 5.3736 0.0000 0.0000 0.0000 5.3736" Properties=species:S:1:pos:R:3 pbc="T T T"
Ti 0.0000 0.0000 0.0000
Hg 0.0000 0.0000 2.6868
Hg 0.0000 2.6868 0.0000
Hg 2.6868 0.0000 0.0000
N 2.6868 2.6868 2.6868
```

---

Record 6
Density functional theory data (PBE) for a relaxed structure of Ti3HgN.

crystal system	hexagonal
formation energy (no corrections)	0.760	eV per atom
magnetization	0.942	μB per cell

extended XYZ file:
```
10
Lattice="4.0354 0.0000 0.0000 -2.0177 3.4947 0.0000 0.0000 0.0000 13.6969" Properties=species:S:1:pos:R:3 pbc="T T T"
Ti 0.0000 0.0000 3.4242
Ti 0.0000 0.0000 10.2727
Ti 0.0000 2.3298 0.7295
Ti 0.0000 2.3298 6.1189
Ti 2.0177 1.1649 7.5780
Ti 2.0177 1.1649 12.9674
Hg 0.0000 2.3298 3.4242
Hg 2.0177 1.1649 10.2727
N 0.0000 0.0000 0.0000
N 0.0000 0.0000 6.8485
```

---

Record 7
Density functional theory data (PBE) for a relaxed structure of Ti3HgN.

crystal system	tetragonal
formation energy (no corrections)	0.496	eV per atom
magnetization	0.003	μB per cell

extended XYZ file:
```
10
Lattice="-2.0429 2.0429 12.4072 2.0429 -2.0429 12.4072 2.0429 2.0429 -12.4072" Properties=species:S:1:pos:R:3 pbc="T T T"
Ti 0.0000 0.0000 4.3257
Ti 2.0429 1.0466 2.7517
Ti 1.0466 2.0429 -2.7517
Ti 0.9963 0.0000 9.6555
Ti 0.0000 0.0000 20.4888
Ti 0.0000 0.9963 15.1590
Hg 2.0429 0.0000 6.2036
Hg 0.0000 0.0000 12.4072
N 0.0000 2.0429 3.5420
N 0.0000 2.0429 8.8652
```

---

Record 8
Density functional theory data (PBE) for a relaxed structure of Ti3HgN.

crystal system	orthorhombic
formation energy (no corrections)	-0.826	eV per atom
magnetization	0.000	μB per cell

extended XYZ file:
```
5
Lattice="3.1028 0.0000 0.0000 0.0000 4.0680 0.0000 0.0000 0.0000 5.9652" Properties=species:S:1:pos:R:3 pbc="T T T"
Ti 0.0000 0.0000 0.0000
Ti 1.5514 2.0340 1.3920
Ti 1.5514 2.0340 4.5732
Hg 0.0000 0.0000 2.9826
N 0.0000 2.0340 0.0000
```

---

Record 9
Density functional theory data (PBE) for a relaxed structure of Ti3HgN.

crystal system	monoclinic
formation energy (no corrections)	-0.483	eV per atom
magnetization	0.000	μB per cell

extended XYZ file:
```
20
Lattice="7.0367 -4.6746 0.0000 7.0367 4.6746 0.0000 -0.9336 0.0000 5.4041" Properties=species:S:1:pos:R:3 pbc="T T T"
Ti 2.0742 0.9875 0.7899
Ti 4.2951 2.2462 1.9966
Ti 3.6876 0.6434 4.7397
Ti 1.6074 -0.9875 3.4919
Ti 4.1544 -0.6434 2.0377
Ti 9.3114 2.2462 0.7054
Ti 3.8283 -2.2462 4.6987
Ti 8.9854 0.6434 3.3664
Ti 11.5323 0.9875 1.9121
Ti 9.4522 -0.6434 0.6643
Ti 8.8446 -2.2462 3.4075
Ti 11.0655 -0.9875 4.6142
Hg 6.3365 2.2072 4.0531
Hg 6.8033 0.8811 1.3510
Hg 6.3365 -0.8811 4.0531
Hg 6.8033 -2.2072 1.3510
N 1.7026 0.7444 4.3448
N 2.1694 -0.7444 1.6428
N 10.9703 0.7444 3.7613
N 11.4371 -0.7444 1.0593
```

---

Record 10
Density functional theory data (PBE) for a relaxed structure of Ti6Hg2N.

crystal system	cubic
formation energy (no corrections)	-0.456	eV per atom
energy above the lowest structure with this stoichiometry	0.000	eV/f.u.
magnetization	2.211	μB per cell

extended XYZ file:
```
9
Lattice="0.0000 4.1680 4.1680 4.1680 0.0000 4.1680 4.1680 4.1680 0.0000" Properties=species:S:1:pos:R:3 pbc="T T T"
Ti 4.1680 4.1680 2.0684
Ti 4.1680 2.0684 4.1680
Ti 6.2676 4.1680 4.1680
Ti 2.0684 4.1680 4.1680
Ti 4.1680 6.2676 4.1680
Ti 4.1680 4.1680 6.2676
Hg 2.0840 2.0840 2.0840
Hg 6.2520 6.2520 6.2520
N 4.1680 4.1680 4.1680
```

---

Record 11
Density functional theory data (PBE) for a relaxed structure of Ti3HgN.

crystal system	trigonal
formation energy (no corrections)	-0.199	eV per atom
magnetization	0.000	μB per cell

extended XYZ file:
```
10
Lattice="3.7809 2.1829 3.3385 -3.7809 2.1829 3.3385 0.0000 -4.3659 3.3385" Properties=species:S:1:pos:R:3 pbc="T T T"
Ti -0.9420 -1.6316 2.5039
Ti -0.9420 1.6316 2.5039
Ti 1.8840 0.0000 2.5039
Ti -1.8840 0.0000 7.5116
Ti 0.9420 -1.6316 7.5116
Ti 0.9420 1.6316 7.5116
Hg 0.0000 0.0000 0.0000
Hg 0.0000 0.0000 5.0077
N 0.0000 0.0000 2.5039
N 0.0000 0.0000 7.5116
```

---

Record 12
Density functional theory data (PBE) for a relaxed structure of Ti3HgN.

crystal system	orthorhombic
formation energy (no corrections)	-0.302	eV per atom
magnetization	1.042	μB per cell

extended XYZ file:
```
10
Lattice="3.9397 0.0000 0.0000 0.0000 6.0698 0.0000 0.0000 0.0000 7.0535" Properties=species:S:1:pos:R:3 pbc="T T T"
Ti 0.9849 0.0599 0.9402
Ti 0.9849 2.9751 0.9402
Ti 0.9849 4.5524 4.2750
Ti 2.9548 1.5175 2.7785
Ti 2.9548 3.0948 6.1133
Ti 2.9548 6.0100 6.1133
Hg 0.9849 1.5175 5.0860
Hg 2.9548 4.5524 1.9675
N 0.9849 1.5175 2.1817
N 2.9548 4.5524 4.8719
```

---

Record 13
Density functional theory data (PBE) for a relaxed structure of Ti6HgN.

crystal system	triclinic
formation energy (no corrections)	-0.445	eV per atom
magnetization	0.000	μB per cell

extended XYZ file:
```
8
Lattice="4.8405 0.0000 0.0000 -0.0797 5.3867 0.0000 -2.0271 -0.7578 4.9704" Properties=species:S:1:pos:R:3 pbc="T T T"
Ti -0.0785 1.5451 0.8080
Ti -0.0680 4.0999 2.1576
Ti 0.4891 1.6558 3.5994
Ti 2.2446 2.9731 1.3710
Ti 2.8017 0.5290 2.8127
Ti 2.8122 3.0838 4.1624
Hg 2.4202 0.0000 0.0000
N -1.0534 2.3145 2.4852
```

---

Record 14
Density functional theory data (PBE) for a relaxed structure of Ti3HgN.

crystal system	monoclinic
formation energy (no corrections)	-0.747	eV per atom
magnetization	0.000	μB per cell

extended XYZ file:
```
10
Lattice="5.6039 -1.5058 0.0000 5.6039 1.5058 0.0000 -2.0889 0.0000 9.0033" Properties=species:S:1:pos:R:3 pbc="T T T"
Ti -0.3583 0.0000 3.4314
Ti 2.4775 0.0000 3.4647
Ti 2.7211 0.0000 7.6587
Ti 6.3978 0.0000 1.3447
Ti 6.6414 0.0000 5.5386
Ti 9.4772 0.0000 5.5719
Hg -0.2197 0.0000 7.9471
Hg 9.3386 0.0000 1.0562
N 2.4741 0.0000 5.5850
N 6.6448 0.0000 3.4183
```

---

Record 15
Density functional theory data (PBE) for a relaxed structure of Ti3HgN.

crystal system	cubic
formation energy (no corrections)	2.024	eV per atom
magnetization	3.243	μB per cell

extended XYZ file:
```
5
Lattice="5.0129 0.0000 0.0000 0.0000 5.0129 0.0000 0.0000 0.0000 5.0129" Properties=species:S:1:pos:R:3 pbc="T T T"
Ti 0.0000 0.0000 2.5065
Ti 0.0000 2.5065 0.0000
Ti 2.5065 0.0000 0.0000
Hg 0.0000 0.0000 0.0000
N 2.5065 2.5065 2.5065
```

---

Record 16
Density functional theory data (PBE) for a relaxed structure of TiHgN3.

crystal system	cubic
formation energy (no corrections)	0.832	eV per atom
magnetization	2.417	μB per cell

extended XYZ file:
```
5
Lattice="3.9993 0.0000 0.0000 0.0000 3.9993 0.0000 0.0000 0.0000 3.9993" Properties=species:S:1:pos:R:3 pbc="T T T"
Ti 0.0000 0.0000 0.0000
Hg 1.9997 1.9997 1.9997
N 0.0000 0.0000 1.9997
N 0.0000 1.9997 0.0000
N 1.9997 0.0000 0.0000
```

---

Record 17
Density functional theory data (PBE) for a relaxed structure of Ti4Hg2N.

crystal system	tetragonal
formation energy (no corrections)	-0.473	eV per atom
magnetization	0.002	μB per cell

extended XYZ file:
```
7
Lattice="-2.0679 2.0679 6.9373 2.0679 -2.0679 6.9373 2.0679 2.0679 -6.9373" Properties=species:S:1:pos:R:3 pbc="T T T"
Ti 2.0679 0.0000 0.0000
Ti 0.0000 0.0000 2.1353
Ti 0.0000 2.0679 0.0000
Ti 0.0000 0.0000 11.7392
Hg 0.0000 0.0000 4.9265
Hg 0.0000 0.0000 8.9480
N 0.0000 0.0000 0.0000
```

---

Record 18
Density functional theory data (PBE) for a relaxed structure of Ti3HgN.

crystal system	orthorhombic
formation energy (no corrections)	-0.817	eV per atom
magnetization	0.000	μB per cell

extended XYZ file:
```
10
Lattice="4.1874 -5.8961 0.0000 4.1874 5.8961 0.0000 0.0000 0.0000 3.1007" Properties=species:S:1:pos:R:3 pbc="T T T"
Ti 2.4388 1.6435 1.5503
Ti 4.1874 3.3444 0.0000
Ti 2.4388 -1.6435 1.5503
Ti 5.9361 1.6435 1.5503
Ti 4.1874 -3.3444 0.0000
Ti 5.9361 -1.6435 1.5503
Hg 0.0000 0.0000 1.5503
Hg 4.1874 0.0000 0.0000
N 2.0937 2.9480 0.0000
N 2.0937 -2.9480 0.0000
```

---

Record 19
Density functional theory data (PBE) for a relaxed structure of Ti3HgN.

crystal system	orthorhombic
formation energy (no corrections)	-0.520	eV per atom
magnetization	3.711	μB per cell

extended XYZ file:
```
10
Lattice="-2.2381 5.9976 3.1305 2.2381 -5.9976 3.1305 2.2381 5.9976 -3.1305" Properties=species:S:1:pos:R:3 pbc="T T T"
Ti 2.2381 2.9988 -0.5879
Ti 0.0000 1.5478 0.7419
Ti 0.0000 4.4498 0.7419
Ti 2.2381 1.5478 2.3886
Ti 2.2381 4.4498 2.3886
Ti 0.0000 2.9988 3.7184
Hg 2.2381 0.0000 0.0000
Hg 0.0000 0.0000 3.1305
N 2.2381 -2.9988 2.5430
N 0.0000 8.9964 0.5876
```

---

Record 20
Density functional theory data (PBE) for a relaxed structure of Ti8HgN2.

crystal system	orthorhombic
formation energy (no corrections)	-0.361	eV per atom
magnetization	0.002	μB per cell

extended XYZ file:
```
11
Lattice="-2.3023 2.5825 6.7279 2.3023 -2.5825 6.7279 2.3023 2.5825 -6.7279" Properties=species:S:1:pos:R:3 pbc="T T T"
Ti 0.0000 0.0000 1.5933
Ti 2.3023 1.3553 -1.3752
Ti 2.3023 0.0000 3.6427
Ti 2.3023 1.3553 1.3752
Ti 0.0000 1.2272 5.3528
Ti 0.0000 2.5825 3.0852
Ti 0.0000 1.2272 8.1031
Ti 0.0000 0.0000 11.8626
Hg 0.0000 2.5825 0.0000
N 0.0000 0.0000 3.6170
N 0.0000 0.0000 9.8389
```